(1)
Entry from Alexandria via LeMat-Bulk: a relaxed K2NaAs crystal (PBEsol).

Properties
- Formation energy: -370 meV per atom

Structure (CIF):
```
data_K2NaAs
_space_group_name_H-M_alt 'P 1'
_space_group_IT_number 1
_cell_length_a 5.293
_cell_length_b 5.293
_cell_length_c 10.444
_cell_angle_alpha 90.00
_cell_angle_beta 90.00
_cell_angle_gamma 120.00
loop_
_space_group_symop_operation_xyz
'x,y,z'
loop_
_atom_site_label
_atom_site_type_symbol
_atom_site_fract_x
_atom_site_fract_y
_atom_site_fract_z
_atom_site_occupancy
As1 As 0.333 0.667 0.750 1
As2 As 0.667 0.333 0.250 1
Na1 Na 0.000 0.000 0.750 1
Na2 Na 0.000 0.000 0.250 1
K1 K 0.333 0.667 0.415 1
K2 K 0.667 0.333 0.585 1
K3 K 0.333 0.667 0.085 1
K4 K 0.667 0.333 0.915 1
```

***

(2)
Entry from Alexandria via LeMat-Bulk: a relaxed KNa2As2 crystal (PBEsol).

Properties
- Formation energy: -340 meV per atom

Structure (CIF):
```
data_KNa2As2
_space_group_name_H-M_alt 'P 1'
_space_group_IT_number 1
_cell_length_a 4.778
_cell_length_b 4.778
_cell_length_c 6.836
_cell_angle_alpha 110.46
_cell_angle_beta 110.46
_cell_angle_gamma 90.00
loop_
_space_group_symop_operation_xyz
'x,y,z'
loop_
_atom_site_label
_atom_site_type_symbol
_atom_site_fract_x
_atom_site_fract_y
_atom_site_fract_z
_atom_site_occupancy
Na1 Na 0.250 0.750 0.500 1
Na2 Na 0.750 0.250 0.500 1
As1 As 0.600 0.600 0.200 1
As2 As 0.400 0.400 0.800 1
K1 K 0.000 0.000 0.000 1
```

***

(3)
Entry from Alexandria via LeMat-Bulk: a relaxed KNaAs6Pb8O24 crystal (PBEsol).

Properties
- Raw formation energy: -31.490 kcal/mol of atoms

Structure (CIF):
```
data_KNaAs6Pb8O24
_space_group_name_H-M_alt 'P 1'
_space_group_IT_number 1
_cell_length_a 7.381
_cell_length_b 10.064
_cell_length_c 10.064
_cell_angle_alpha 120.00
_cell_angle_beta 90.00
_cell_angle_gamma 90.00
loop_
_space_group_symop_operation_xyz
'x,y,z'
loop_
_atom_site_label
_atom_site_type_symbol
_atom_site_fract_x
_atom_site_fract_y
_atom_site_fract_z
_atom_site_occupancy
Pb1 Pb 0.981 0.000 0.000 1
Pb2 Pb 0.249 0.414 0.078 1
Pb3 Pb 0.249 0.664 0.586 1
Pb4 Pb 0.249 0.922 0.336 1
Pb5 Pb 0.758 0.925 0.595 1
Pb6 Pb 0.487 0.333 0.667 1
Pb7 Pb 0.758 0.670 0.075 1
Pb8 Pb 0.758 0.405 0.330 1
O1 O 0.432 0.753 0.068 1
O2 O 0.069 0.913 0.666 1
O3 O 0.562 0.392 0.959 1
O4 O 0.801 0.257 0.441 1
O5 O 0.219 0.080 0.240 1
O6 O 0.243 0.149 0.633 1
O7 O 0.801 0.559 0.816 1
O8 O 0.219 0.160 0.920 1
O9 O 0.754 0.184 0.023 1
O10 O 0.924 0.433 0.022 1
O11 O 0.754 0.977 0.160 1
O12 O 0.243 0.367 0.517 1
O13 O 0.219 0.760 0.840 1
O14 O 0.562 0.568 0.608 1
O15 O 0.432 0.932 0.685 1
O16 O 0.801 0.184 0.743 1
O17 O 0.432 0.315 0.247 1
O18 O 0.243 0.483 0.851 1
O19 O 0.069 0.334 0.247 1
O20 O 0.562 0.041 0.432 1
O21 O 0.924 0.978 0.411 1
O22 O 0.069 0.753 0.087 1
O23 O 0.754 0.840 0.816 1
O24 O 0.924 0.589 0.567 1
As1 As 0.244 0.679 0.956 1
As2 As 0.244 0.276 0.321 1
As3 As 0.760 0.062 0.356 1
As4 As 0.760 0.293 0.938 1
As5 As 0.760 0.644 0.707 1
As6 As 0.244 0.044 0.724 1
K1 K 0.479 0.000 0.000 1
Na1 Na 0.006 0.333 0.667 1
```

***

| no. | final energy (eV/atom) |
| --- | --- |
| 1 | -2.5627 |
| 2 | -3.1689 |
| 3 | -6.1441 |